Density functional theory data (meta-GGA SCAN) for a crystal of BeAsSe2I relaxed with PBEsol.

Computed properties:
spin magnetization = 0.00 μB per formula unit
VASP energy = -93.91 eV per cell
formation energy (no corrections) = 1506 meV/atom
V = 148.4 Å³/cell

Lattice parameters (Å, degrees): 5.311 5.311 5.261 90.00 90.00 90.00
Fractional positions:
1 Be 0.000 0.000 0.000
2 As 0.500 0.500 0.000
3 Se 0.000 0.500 0.500
4 Se 0.500 0.000 0.500
5 I 0.500 0.500 0.500

=====

Density functional theory data (meta-GGA SCAN) for a crystal of NaHf2IrI relaxed with PBEsol.

Computed properties:
spin magnetization = 0.02 μB per formula unit
VASP energy = -230.86 eV per cell
formation energy (no corrections) = 1308 meV/atom
V = 131.1 Å³/cell

Lattice parameters (Å, degrees): 5.178 5.178 4.889 90.00 90.00 90.00
Fractional positions:
1 Na 0.000 0.000 0.000
2 Hf 0.000 0.500 0.500
3 Hf 0.500 0.000 0.500
4 Ir 0.500 0.500 0.000
5 I 0.500 0.500 0.500

=====

Density functional theory data (meta-GGA SCAN) for a crystal of ZrNb2AsO relaxed with PBEsol.

Computed properties:
spin magnetization = 2.02 μB per formula unit
VASP energy = -114.54 eV per cell
formation energy (no corrections) = 1769 meV/atom
V = 116.5 Å³/cell

Lattice parameters (Å, degrees): 4.881 4.881 4.891 90.00 90.00 90.00
Fractional positions:
1 Zr 0.000 0.000 0.000
2 Nb 0.000 0.500 0.000
3 Nb 0.500 0.000 0.000
4 As 0.000 0.000 0.500
5 O 0.500 0.500 0.500

=====

Density functional theory data (meta-GGA SCAN) for a crystal of MgAlTe2 relaxed with PBEsol.

Computed properties:
spin magnetization = 0.00 μB per formula unit
VASP energy = -261.06 eV per cell
formation energy (no corrections) = 52 meV/atom
V = 323.9 Å³/cell

Lattice parameters (Å, degrees): 3.558 3.558 29.551 90.00 90.00 120.00
Fractional positions:
1 Mg 0.000 0.000 0.000
2 Mg 0.333 0.667 0.667
3 Mg 0.667 0.333 0.333
4 Al 0.000 0.000 0.500
5 Al 0.333 0.667 0.167
6 Al 0.667 0.333 0.833
7 Te 0.000 0.000 0.401
8 Te 0.000 0.000 0.599
9 Te 0.333 0.667 0.068
10 Te 0.333 0.667 0.266
11 Te 0.667 0.333 0.734
12 Te 0.667 0.333 0.932

=====

Density functional theory data (meta-GGA SCAN) for a crystal of HfCr3In relaxed with PBEsol.

Computed properties:
spin magnetization = 9.55 μB per formula unit
energy of formation from the pure elements = 1.3710 eV per atom
VASP energy = -144.36 eV per cell
V = 103.5 Å³/cell

Lattice parameters (Å, degrees): 4.695 4.695 4.695 90.00 90.00 90.00
Fractional positions:
1 Hf 0.000 0.000 0.000
2 Cr 0.000 0.000 0.500
3 Cr 0.000 0.500 0.000
4 Cr 0.500 0.000 0.000
5 In 0.500 0.500 0.500

=====

Density functional theory data (meta-GGA SCAN) for a crystal of Zr3FeSi relaxed with PBEsol.

Computed properties:
spin magnetization = 0.00 μB per formula unit
VASP energy = -119.33 eV per cell
formation energy (no corrections) = 182 meV/atom
V = 101.3 Å³/cell

Lattice parameters (Å, degrees): 4.662 4.662 4.662 90.00 90.00 90.00
Fractional positions:
1 Zr 0.000 0.000 0.500
2 Zr 0.000 0.500 0.000
3 Zr 0.500 0.000 0.000
4 Fe 0.000 0.000 0.000
5 Si 0.500 0.500 0.500

=====

Density functional theory data (meta-GGA SCAN) for a crystal of HgBi3Ru relaxed with PBEsol.

Computed properties:
spin magnetization = 0.00 μB per formula unit
energy of formation from the pure elements = 0.4665 eV per atom
VASP energy = -336.40 eV per cell
V = 143.8 Å³/cell

Lattice parameters (Å, degrees): 5.239 5.239 5.239 90.00 90.00 90.00
Fractional positions:
1 Hg 0.000 0.000 0.000
2 Bi 0.000 0.500 0.500
3 Bi 0.500 0.000 0.500
4 Bi 0.500 0.500 0.000
5 Ru 0.500 0.500 0.500

=====

Density functional theory data (meta-GGA SCAN) for a crystal of CaRhBr relaxed with PBEsol.

Computed properties:
spin magnetization = 0.54 μB per formula unit
VASP energy = -63.78 eV per cell
formation energy (no corrections) = -295 meV/atom
V = 65.1 Å³/cell

Lattice parameters (Å, degrees): 3.534 3.534 6.016 90.00 90.00 120.00
Fractional positions:
1 Ca 0.000 0.000 0.000
2 Rh 0.333 0.667 0.669
3 Br 0.667 0.333 0.349

=====

Density functional theory data (meta-GGA SCAN) for a crystal of BaCd2Cl relaxed with PBEsol.

Computed properties:
spin magnetization = 0.00 μB per formula unit
VASP energy = -223.01 eV per cell
formation energy (no corrections) = -787 meV/atom
V = 227.2 Å³/cell

Lattice parameters (Å, degrees): 5.110 5.110 8.703 90.00 90.00 90.00
Fractional positions:
1 Ba 0.000 0.000 0.000
2 Ba 0.500 0.500 0.500
3 Cd 0.000 0.000 0.500
4 Cd 0.000 0.500 0.250
5 Cd 0.500 0.000 0.750
6 Cd 0.500 0.500 0.000
7 Cl 0.000 0.500 0.750
8 Cl 0.500 0.000 0.250

=====

Density functional theory data (meta-GGA SCAN) for a crystal of BaCu2Ru relaxed with PBEsol.

Computed properties:
spin magnetization = 0.00 μB per formula unit
energy of formation from the pure elements = 0.2081 eV per atom
VASP energy = -311.83 eV per cell
V = 255.5 Å³/cell

Lattice parameters (Å, degrees): 4.250 4.250 16.328 90.00 90.00 120.00
Fractional positions:
1 Ba 0.000 0.000 0.000
2 Ba 0.333 0.667 0.667
3 Ba 0.667 0.333 0.333
4 Cu 0.000 0.000 0.505
5 Cu 0.000 0.000 0.817
6 Cu 0.333 0.667 0.171
7 Cu 0.333 0.667 0.483
8 Cu 0.667 0.333 0.150
9 Cu 0.667 0.333 0.838
10 Ru 0.000 0.000 0.181
11 Ru 0.333 0.667 0.848
12 Ru 0.667 0.333 0.515

=====

Density functional theory data (meta-GGA SCAN) for a crystal of La2TeW relaxed with PBEsol.

Computed properties:
spin magnetization = 1.00 μB per formula unit
VASP energy = -193.36 eV per cell
formation energy (no corrections) = -54 meV/atom
V = 106.0 Å³/cell

Lattice parameters (Å, degrees): 3.868 3.868 7.089 90.00 90.00 90.00
Fractional positions:
1 La 0.000 0.000 0.234
2 La 0.000 0.000 0.766
3 Te 0.500 0.500 0.500
4 W 0.500 0.500 0.000

=====

Density functional theory data (meta-GGA SCAN) for a crystal of Zr6Al16Ni7 relaxed with PBEsol.

Computed properties:
spin magnetization = 0.00 μB per formula unit
energy of formation from the pure elements = -0.7184 eV per atom
VASP energy = -442.27 eV per cell
V = 429.4 Å³/cell

Lattice parameters (Å, degrees): 8.468 8.468 8.468 60.00 60.00 60.00
Fractional positions:
1 Zr 0.191 0.191 0.809
2 Zr 0.191 0.809 0.191
3 Zr 0.191 0.809 0.809
4 Zr 0.809 0.191 0.191
5 Zr 0.809 0.191 0.809
6 Zr 0.809 0.809 0.191
7 Al 0.143 0.619 0.619
8 Al 0.166 0.166 0.166
9 Al 0.166 0.166 0.501
10 Al 0.166 0.501 0.166
11 Al 0.381 0.381 0.381
12 Al 0.381 0.381 0.857
13 Al 0.381 0.857 0.381
14 Al 0.499 0.834 0.834
15 Al 0.501 0.166 0.166
16 Al 0.619 0.143 0.619
17 Al 0.619 0.619 0.143
18 Al 0.619 0.619 0.619
19 Al 0.834 0.499 0.834
20 Al 0.834 0.834 0.499
21 Al 0.834 0.834 0.834
22 Al 0.857 0.381 0.381
23 Ni 0.000 0.000 0.500
24 Ni 0.000 0.500 0.000
25 Ni 0.000 0.500 0.500
26 Ni 0.500 0.000 0.000
27 Ni 0.500 0.000 0.500
28 Ni 0.500 0.500 0.000
29 Ni 0.500 0.500 0.500